GGA-PBE PmDy6Th4, optimized geometry; E_tot = -5.1534 eV per atom; polymorph energy (0 for the lowest one) = 315 meV per atom; formation energy = 0.487 eV/atom
1.0
7.919 0.000 0.000
0.000 7.919 0.000
-3.959 -3.959 6.409
Th Pm Dy
4 1 6
Direct
0.760 0.094 0.854
0.906 0.906 0.146
0.094 0.760 0.854
0.240 0.240 0.146
0.500 0.500 0.000
0.500 0.000 0.000
0.422 0.951 0.373
0.578 0.578 0.627
0.951 0.422 0.373
0.049 0.049 0.627
0.000 0.500 0.000


GGA-PBE CsPrDy4S8, optimized geometry; E_tot = -5.9321 eV per atom; raw formation energy = -1856.3 meV/atom
1.0
-0.654 -6.517 -5.099
3.045 -7.377 2.282
-5.382 -6.284 1.966
S Pr Dy Cs
8 1 4 1
Direct
0.226 0.226 0.323
0.233 0.754 0.260
0.754 0.233 0.260
0.237 0.237 0.715
0.810 0.237 0.715
0.754 0.754 0.260
0.237 0.810 0.715
0.756 0.756 0.731
0.006 0.006 0.983
0.004 0.488 0.505
0.488 0.004 0.505
0.626 0.626 0.123
0.004 0.004 0.505
0.367 0.367 0.898


GGA-PBE TlSn3Cl, optimized geometry; E_tot = -2.7209 eV per atom; polymorph energy (0 for the lowest one) = 234 meV per atom; raw formation energy = 523.4 meV/atom
1.0
-3.263 -1.834 4.464
1.014 -5.529 -1.530
4.719 -0.080 3.416
Tl Sn Cl
1 3 1
Direct
0.000 0.000 0.000
0.000 0.000 0.500
0.000 0.500 0.000
0.500 0.000 0.000
0.500 0.500 0.500


GGA-PBE RuSN2F, optimized geometry; E_tot = -5.5260 eV per atom; polymorph energy (0 for the lowest one) = 42 meV per atom; raw formation energy = 859.0 meV/atom
1.0
3.880 0.000 0.000
0.000 3.880 0.000
0.000 0.000 4.020
F N S Ru
1 2 1 1
Direct
0.000 0.000 0.500
0.000 0.500 0.000
0.500 0.000 0.000
0.500 0.500 0.500
0.000 0.000 0.000


GGA-PBE Pa2SbIr2, optimized geometry; E_tot = -9.0250 eV per atom; raw formation energy = -857.7 meV/atom
1.0
3.723 0.000 0.000
0.000 7.621 0.000
0.000 0.000 7.621
Ir Pa Sb
4 4 2
Direct
0.000 0.631 0.131
0.000 0.869 0.631
0.000 0.131 0.369
0.000 0.369 0.869
0.500 0.327 0.173
0.500 0.673 0.827
0.500 0.827 0.327
0.500 0.173 0.673
0.000 0.500 0.500
0.000 0.000 0.000


GGA-PBE NdHoTm5, optimized geometry; E_tot = -4.3280 eV per atom; polymorph energy (0 for the lowest one) = 0 meV per atom; formation energy = 0.201 eV/atom
1.0
6.093 0.100 2.736
2.269 5.655 2.736
1.039 0.715 13.624
Tm Ho Nd
10 2 2
Direct
0.301 0.354 0.998
0.833 0.167 0.250
0.613 0.826 0.753
0.646 0.699 0.502
0.387 0.174 0.247
0.354 0.301 0.498
0.826 0.613 0.253
0.699 0.646 0.002
0.174 0.387 0.747
0.167 0.833 0.750
0.722 0.278 0.750
0.278 0.722 0.250
0.000 0.000 0.500
0.000 0.000 0.000


GGA-PBE Nb2Fe3Ru, optimized geometry; E_tot = -9.2598 eV per atom; formation energy = -0.126 eV/atom
1.0
4.275 -0.129 -2.247
-2.718 3.988 -0.204
-0.111 0.182 4.975
Nb Fe Ru
2 3 1
Direct
0.758 0.379 0.137
0.242 0.621 0.863
0.500 0.500 0.500
0.500 0.000 0.500
0.000 0.000 0.500
0.000 0.000 0.000


GGA-PBE La2NdEr2Mg5, optimized geometry; E_tot = -3.1691 eV per atom; formation energy = 0.003 eV/atom
1.0
5.146 0.000 0.000
0.000 10.697 0.000
0.000 0.000 10.697
Mg La Er Nd
10 4 4 2
Direct
0.500 0.000 0.500
0.500 0.800 0.926
0.500 0.700 0.426
0.500 0.300 0.574
0.500 0.426 0.300
0.500 0.574 0.700
0.500 0.926 0.200
0.500 0.200 0.074
0.500 0.074 0.800
0.500 0.500 0.000
0.000 0.824 0.676
0.000 0.176 0.324
0.000 0.676 0.176
0.000 0.324 0.824
0.000 0.120 0.620
0.000 0.880 0.380
0.000 0.620 0.880
0.000 0.380 0.120
0.000 0.000 0.000
0.000 0.500 0.500


GGA-PBE Y2ScTl3Te6, optimized geometry; E_tot = -4.7840 eV per atom; raw formation energy = -1016.6 meV/atom
1.0
-4.439 1.487 -5.993
0.146 -6.997 2.976
-4.683 3.848 6.033
Y Tl Te Sc
2 3 6 1
Direct
0.334 0.666 0.000
0.666 0.334 0.000
0.829 0.171 0.500
0.171 0.829 0.500
0.500 0.500 0.500
0.749 0.749 0.212
0.069 0.391 0.209
0.391 0.069 0.209
0.931 0.609 0.791
0.251 0.251 0.788
0.609 0.931 0.791
0.000 0.000 0.000


GGA-PBE Tb3BiSe2, optimized geometry; E_tot = -5.2630 eV per atom; raw formation energy = -1139.5 meV/atom
1.0
8.045 0.000 4.238
3.113 6.345 3.845
0.937 0.481 7.977
Tb Se Bi
6 4 2
Direct
0.500 0.500 0.000
0.000 0.724 0.276
0.500 0.776 0.224
0.000 0.276 0.724
0.500 0.224 0.776
0.500 0.000 0.500
0.741 0.049 0.049
0.259 0.951 0.951
0.660 0.549 0.549
0.340 0.451 0.451
0.189 0.250 0.250
0.811 0.750 0.750


GGA-PBE KLaAu2, optimized geometry; E_tot = -3.6133 eV per atom; formation energy = -0.468 eV/atom
1.0
-1.799 1.218 5.027
-2.963 -4.605 0.056
2.830 -1.803 1.450
Au K La
2 1 1
Direct
0.500 0.500 0.000
0.000 0.000 0.000
0.500 0.000 0.500
0.000 0.500 0.500


GGA-PBE YCu2SnPd, optimized geometry; E_tot = -3.9448 eV per atom; formation energy = 0.826 eV/atom
1.0
-0.160 5.033 -0.658
-1.207 -0.678 -4.892
-4.931 0.002 1.216
Pd Cu Y Sn
1 2 1 1
Direct
0.000 0.500 0.000
0.000 0.000 0.500
0.500 0.000 0.000
0.000 0.000 0.000
0.500 0.500 0.500


Number 1: total moment 0.00 μB/f.u.. Number 2: total moment 0.00 μB/f.u.. Number 3: total moment 0.00 μB/f.u.. Number 4: total moment 0.00 μB/f.u.. Number 5: total moment 0.00 μB/f.u.. Number 6: total moment 0.00 μB/f.u.. Number 7: total moment 3.95 μB/f.u.. Number 8: total moment 0.00 μB/f.u.. Number 9: total moment 0.00 μB/f.u.. Number 10: total moment 0.00 μB/f.u.. Number 11: total moment 0.00 μB/f.u.. Number 12: total moment 0.00 μB/f.u..